[1]
The following is a PBE calculation of an optimized crystal structure of HfRuSe2N, from Alexandria.

Output
**ΔE_f (raw)**: 0.13 eV per atom
**Polymorph energy (0 for the lowest one)**: 0.0 meV per atom

```
data_HfRuSe2N
_chemical_formula_sum 'Hf1 Ru1 Se2 N1'
_space_group_name_H-M_alt 'P 4/m m m'
_space_group_IT_number 123
_space_group_name_Hall '-P 4 2'
_cell_length_a 5.042
_cell_length_b 5.042
_cell_length_c 3.640
_cell_angle_alpha 90.00
_cell_angle_beta 90.00
_cell_angle_gamma 90.00
loop_
_atom_site_label
_atom_site_type_symbol
_atom_site_fract_x
_atom_site_fract_y
_atom_site_fract_z
Hf1 Hf 0.000 0.000 0.000
Ru1 Ru 0.500 0.500 0.500
Se1 Se 0.000 0.500 0.500
N1 N 0.500 0.500 0.000
```



[2]
The following is a PBE calculation of an optimized crystal structure of CeThZnFe2, from Alexandria.

Output
**Calculated formation energy**: -2 kJ per mole of atoms

```
data_CeThZnFe2
_chemical_formula_sum 'Ce4 Th4 Zn4 Fe8'
_space_group_name_H-M_alt 'C 1 2/m 1'
_space_group_IT_number 12
_space_group_name_Hall '-C 2y'
_cell_length_a 12.160
_cell_length_b 4.026
_cell_length_c 8.495
_cell_angle_alpha 90.00
_cell_angle_beta 95.84
_cell_angle_gamma 90.00
loop_
_atom_site_label
_atom_site_type_symbol
_atom_site_fract_x
_atom_site_fract_y
_atom_site_fract_z
Ce1 Ce 0.066 0.000 0.190
Th1 Th 0.151 0.500 0.590
Zn1 Zn 0.190 0.500 0.967
Fe1 Fe 0.104 0.000 0.829
Fe2 Fe 0.223 0.500 0.273
```



[3]
The following is a PBE calculation of an optimized crystal structure of Ce5RuPb, from Alexandria.

Output
**Polymorph energy (0 for the lowest one)**: 0.0 meV per atom
**Calculated formation energy**: -22 kJ per mole of atoms

```
data_Ce5RuPb
_chemical_formula_sum 'Ce5 Ru1 Pb1'
_space_group_name_H-M_alt 'P 4/m m m'
_space_group_IT_number 123
_space_group_name_Hall '-P 4 2'
_cell_length_a 4.910
_cell_length_b 4.910
_cell_length_c 7.821
_cell_angle_alpha 90.00
_cell_angle_beta 90.00
_cell_angle_gamma 90.00
loop_
_atom_site_label
_atom_site_type_symbol
_atom_site_fract_x
_atom_site_fract_y
_atom_site_fract_z
Ce1 Ce 0.000 0.000 0.000
Ce2 Ce 0.000 0.500 0.297
Ru1 Ru 0.000 0.000 0.500
Pb1 Pb 0.500 0.500 0.000
```



Asked for volume across the records above, the calculation gives 92.5, 413.7, 188.6 Å³/cell in order.
Asked for total energy across the records above, the calculation gives -33.9, -126.6, -44.2 eV per cell in order.